(1)
DFT (GGA-PBE) results for an optimized crystal structure of RbBi3Au.

CIF file:
```
data_RbBi3Au
_symmetry_space_group_name_H-M 'P m -3 m'
_symmetry_Int_Tables_number 221
_symmetry_space_group_name_Hall '-P 4 2 3'
_cell_length_a 6.1371
_cell_length_b 6.1371
_cell_length_c 6.1371
_cell_angle_alpha 90.00
_cell_angle_beta 90.00
_cell_angle_gamma 90.00
loop_
_atom_site_label
_atom_site_fract_x
_atom_site_fract_y
_atom_site_fract_z
Rb1 0.0000 0.0000 0.0000
Bi1 0.0000 0.0000 0.5000
Au1 0.5000 0.5000 0.5000
```

***

(2)
DFT (GGA-PBE) results for an optimized crystal structure of RbBi3Au.

CIF file:
```
data_RbBi3Au
_symmetry_space_group_name_H-M 'I 4 m m'
_symmetry_Int_Tables_number 107
_symmetry_space_group_name_Hall 'I 4 -2'
_cell_length_a 5.1427
_cell_length_b 5.1427
_cell_length_c 13.0352
_cell_angle_alpha 90.00
_cell_angle_beta 90.00
_cell_angle_gamma 90.00
loop_
_atom_site_label
_atom_site_fract_x
_atom_site_fract_y
_atom_site_fract_z
Rb1 0.0000 0.0000 0.0000
Bi1 0.0000 0.0000 0.5981
Bi2 0.0000 0.5000 0.2604
Au1 0.0000 0.0000 0.3780
```

***

(3)
DFT (GGA-PBE) results for an optimized crystal structure of RbBi3Au.

CIF file:
```
data_RbBi3Au
_symmetry_space_group_name_H-M 'C m m m'
_symmetry_Int_Tables_number 65
_symmetry_space_group_name_Hall '-C 2 2'
_cell_length_a 5.2783
_cell_length_b 27.0169
_cell_length_c 4.9849
_cell_angle_alpha 90.00
_cell_angle_beta 90.00
_cell_angle_gamma 90.00
loop_
_atom_site_label
_atom_site_fract_x
_atom_site_fract_y
_atom_site_fract_z
Rb1 0.0000 0.1679 0.0000
Bi1 0.0000 0.0569 0.5000
Bi2 0.0000 0.2796 0.5000
Bi3 0.0000 0.4425 0.0000
Au1 0.0000 0.3838 0.5000
```

***

(4)
DFT (GGA-PBE) results for an optimized crystal structure of RbBi3Au.

CIF file:
```
data_RbBi3Au
_symmetry_space_group_name_H-M 'P m -3 m'
_symmetry_Int_Tables_number 221
_symmetry_space_group_name_Hall '-P 4 2 3'
_cell_length_a 5.7360
_cell_length_b 5.7360
_cell_length_c 5.7360
_cell_angle_alpha 90.00
_cell_angle_beta 90.00
_cell_angle_gamma 90.00
loop_
_atom_site_label
_atom_site_fract_x
_atom_site_fract_y
_atom_site_fract_z
Rb1 0.0000 0.0000 0.0000
Bi1 0.0000 0.5000 0.5000
Au1 0.5000 0.5000 0.5000
```

***

Stability check: which of them is least stable? (1).

***

(1)
DFT (GGA-PBE) results for an optimized crystal structure of RbBi2Au.

CIF file:
```
data_RbBi2Au
_symmetry_space_group_name_H-M 'I -4 2 d'
_symmetry_Int_Tables_number 122
_symmetry_space_group_name_Hall 'I -4 2bw'
_cell_length_a 5.4929
_cell_length_b 5.4929
_cell_length_c 20.6058
_cell_angle_alpha 90.00
_cell_angle_beta 90.00
_cell_angle_gamma 90.00
loop_
_atom_site_label
_atom_site_fract_x
_atom_site_fract_y
_atom_site_fract_z
Rb1 0.0000 0.0000 0.0000
Bi1 0.1340 0.2500 0.6250
Au1 0.0000 0.0000 0.5000
```

***

(2)
DFT (GGA-PBE) results for an optimized crystal structure of RbBi2Au.

CIF file:
```
data_RbBi2Au
_symmetry_space_group_name_H-M 'C m c m'
_symmetry_Int_Tables_number 63
_symmetry_space_group_name_Hall '-C 2c 2'
_cell_length_a 4.5014
_cell_length_b 13.6724
_cell_length_c 9.6173
_cell_angle_alpha 90.00
_cell_angle_beta 90.00
_cell_angle_gamma 90.00
loop_
_atom_site_label
_atom_site_fract_x
_atom_site_fract_y
_atom_site_fract_z
Rb1 0.0000 0.0561 0.2500
Bi1 0.0000 0.3241 0.0593
Au1 0.0000 0.2110 0.7500
```

***

Stability check: which of them is least stable? (1).

***

(1)
DFT (GGA-PBE) results for an optimized crystal structure of RbBi2Au4.

CIF file:
```
data_RbBi2Au4
_symmetry_space_group_name_H-M 'I 4/m c m'
_symmetry_Int_Tables_number 140
_symmetry_space_group_name_Hall '-I 4 2c'
_cell_length_a 9.3608
_cell_length_b 9.3608
_cell_length_c 8.7220
_cell_angle_alpha 90.00
_cell_angle_beta 90.00
_cell_angle_gamma 90.00
loop_
_atom_site_label
_atom_site_fract_x
_atom_site_fract_y
_atom_site_fract_z
Rb1 0.0000 0.0000 0.2500
Bi1 0.1345 0.3655 0.0000
Au1 0.1576 0.3424 0.3370
```

***

(2)
DFT (GGA-PBE) results for an optimized crystal structure of RbBi2Au4.

CIF file:
```
data_RbBi2Au4
_symmetry_space_group_name_H-M 'P 42/m n m'
_symmetry_Int_Tables_number 136
_symmetry_space_group_name_Hall '-P 4n 2n'
_cell_length_a 9.6563
_cell_length_b 9.6563
_cell_length_c 4.0492
_cell_angle_alpha 90.00
_cell_angle_beta 90.00
_cell_angle_gamma 90.00
loop_
_atom_site_label
_atom_site_fract_x
_atom_site_fract_y
_atom_site_fract_z
Rb1 0.0000 0.0000 0.0000
Bi1 0.2346 0.2346 0.5000
Au1 0.0605 0.6469 0.5000
```

***

Stability check: which of them is least stable? (2).

***

(1)
DFT (GGA-PBE) results for an optimized crystal structure of Rb2SnBiAu.

CIF file:
```
data_Rb2SnBiAu
_symmetry_space_group_name_H-M 'P 4/m m m'
_symmetry_Int_Tables_number 123
_symmetry_space_group_name_Hall '-P 4 2'
_cell_length_a 7.0955
_cell_length_b 7.0955
_cell_length_c 5.0443
_cell_angle_alpha 90.00
_cell_angle_beta 90.00
_cell_angle_gamma 90.00
loop_
_atom_site_label
_atom_site_fract_x
_atom_site_fract_y
_atom_site_fract_z
Rb1 0.0000 0.5000 0.0000
Sn1 0.0000 0.0000 0.0000
Bi1 0.5000 0.5000 0.5000
Au1 0.0000 0.0000 0.5000
```

***

(2)
DFT (GGA-PBE) results for an optimized crystal structure of Rb2SnBiAu.

CIF file:
```
data_Rb2SnBiAu
_symmetry_space_group_name_H-M 'P 4/m m m'
_symmetry_Int_Tables_number 123
_symmetry_space_group_name_Hall '-P 4 2'
_cell_length_a 7.2057
_cell_length_b 7.2057
_cell_length_c 5.5980
_cell_angle_alpha 90.00
_cell_angle_beta 90.00
_cell_angle_gamma 90.00
loop_
_atom_site_label
_atom_site_fract_x
_atom_site_fract_y
_atom_site_fract_z
Rb1 0.0000 0.5000 0.0000
Sn1 0.0000 0.0000 0.0000
Bi1 0.0000 0.0000 0.5000
Au1 0.5000 0.5000 0.5000
```

***

Stability check: which of them is least stable? (1).

***

(1)
DFT (GGA-PBE) results for an optimized crystal structure of RbBiTe2Au.

CIF file:
```
data_RbBiTe2Au
_symmetry_space_group_name_H-M 'C m m e'
_symmetry_Int_Tables_number 67
_symmetry_space_group_name_Hall '-C 2a 2'
_cell_length_a 6.6667
_cell_length_b 16.3213
_cell_length_c 6.5314
_cell_angle_alpha 90.00
_cell_angle_beta 90.00
_cell_angle_gamma 90.00
loop_
_atom_site_label
_atom_site_fract_x
_atom_site_fract_y
_atom_site_fract_z
Rb1 0.0000 0.2500 0.2369
Bi1 0.2500 0.0000 0.0000
Te1 0.0000 0.1340 0.7293
Au1 0.0000 0.0000 0.5000
```

***

(2)
DFT (GGA-PBE) results for an optimized crystal structure of RbBiTe2Au.

CIF file:
```
data_RbBiTe2Au
_symmetry_space_group_name_H-M 'P 4/m m m'
_symmetry_Int_Tables_number 123
_symmetry_space_group_name_Hall '-P 4 2'
_cell_length_a 6.2216
_cell_length_b 6.2216
_cell_length_c 5.4871
_cell_angle_alpha 90.00
_cell_angle_beta 90.00
_cell_angle_gamma 90.00
loop_
_atom_site_label
_atom_site_fract_x
_atom_site_fract_y
_atom_site_fract_z
Rb1 0.0000 0.0000 0.0000
Bi1 0.5000 0.5000 0.5000
Te1 0.0000 0.5000 0.0000
Au1 0.0000 0.0000 0.5000
```

***

Stability check: which of them is least stable? (2).

***

(1)
DFT (GGA-PBE) results for an optimized crystal structure of BiRhAu.

CIF file:
```
data_BiRhAu
_symmetry_space_group_name_H-M 'F -4 3 m'
_symmetry_Int_Tables_number 216
_symmetry_space_group_name_Hall 'F -4 2 3'
_cell_length_a 6.4320
_cell_length_b 6.4320
_cell_length_c 6.4320
_cell_angle_alpha 90.00
_cell_angle_beta 90.00
_cell_angle_gamma 90.00
loop_
_atom_site_label
_atom_site_fract_x
_atom_site_fract_y
_atom_site_fract_z
Bi1 0.0000 0.0000 0.0000
Rh1 0.2500 0.2500 0.7500
Au1 0.0000 0.0000 0.5000
```

***

(2)
DFT (GGA-PBE) results for an optimized crystal structure of BiRhAu.

CIF file:
```
data_BiRhAu
_symmetry_space_group_name_H-M 'P 3 m 1'
_symmetry_Int_Tables_number 156
_symmetry_space_group_name_Hall 'P 3 -2"'
_cell_length_a 4.0713
_cell_length_b 4.0713
_cell_length_c 4.5622
_cell_angle_alpha 90.00
_cell_angle_beta 90.00
_cell_angle_gamma 120.00
loop_
_atom_site_label
_atom_site_fract_x
_atom_site_fract_y
_atom_site_fract_z
Bi1 0.0000 0.0000 0.0000
Rh1 0.6667 0.3333 0.7053
Au1 0.3333 0.6667 0.4072
```

***

Stability check: which of them is least stable? (2).

***

(1)
DFT (GGA-PBE) results for an optimized crystal structure of Bi8RhAu2.

CIF file:
```
data_Bi8RhAu2
_symmetry_space_group_name_H-M 'P -1'
_symmetry_Int_Tables_number 2
_symmetry_space_group_name_Hall '-P 1'
_cell_length_a 5.0495
_cell_length_b 8.2826
_cell_length_c 8.8714
_cell_angle_alpha 89.27
_cell_angle_beta 73.92
_cell_angle_gamma 73.16
loop_
_atom_site_label
_atom_site_fract_x
_atom_site_fract_y
_atom_site_fract_z
Bi1 0.0288 0.3156 0.1390
Bi2 0.1390 0.8565 0.3612
Bi3 0.3298 0.3621 0.4718
Bi4 0.3646 0.9399 0.8269
Rh1 0.5000 0.0000 0.5000
Au1 0.1943 0.3199 0.8096
```

***

(2)
DFT (GGA-PBE) results for an optimized crystal structure of Bi8RhAu2.

CIF file:
```
data_Bi8RhAu2
_symmetry_space_group_name_H-M 'C 1 2/m 1'
_symmetry_Int_Tables_number 12
_symmetry_space_group_name_Hall '-C 2y'
_cell_length_a 10.4339
_cell_length_b 9.1286
_cell_length_c 6.9786
_cell_angle_alpha 90.00
_cell_angle_beta 98.72
_cell_angle_gamma 90.00
loop_
_atom_site_label
_atom_site_fract_x
_atom_site_fract_y
_atom_site_fract_z
Bi1 0.0718 0.2078 0.2411
Bi2 0.1197 0.5000 0.8320
Bi3 0.2275 0.5000 0.4294
Rh1 0.0000 0.0000 0.5000
Au1 0.1419 0.0000 0.9144
```

***

Stability check: which of them is least stable? (1).

***

(1)
DFT (GGA-PBE) results for an optimized crystal structure of Bi2Au2S.

CIF file:
```
data_Bi2Au2S
_symmetry_space_group_name_H-M 'P 4/m b m'
_symmetry_Int_Tables_number 127
_symmetry_space_group_name_Hall '-P 4 2ab'
_cell_length_a 7.6193
_cell_length_b 7.6193
_cell_length_c 4.0995
_cell_angle_alpha 90.00
_cell_angle_beta 90.00
_cell_angle_gamma 90.00
loop_
_atom_site_label
_atom_site_fract_x
_atom_site_fract_y
_atom_site_fract_z
Bi1 0.1684 0.3316 0.0000
Au1 0.1333 0.6333 0.5000
S1 0.0000 0.0000 0.5000
```

***

(2)
DFT (GGA-PBE) results for an optimized crystal structure of Bi2Au2S.

CIF file:
```
data_Bi2Au2S
_symmetry_space_group_name_H-M 'I 4/m m m'
_symmetry_Int_Tables_number 139
_symmetry_space_group_name_Hall '-I 4 2'
_cell_length_a 3.8814
_cell_length_b 3.8814
_cell_length_c 16.0563
_cell_angle_alpha 90.00
_cell_angle_beta 90.00
_cell_angle_gamma 90.00
loop_
_atom_site_label
_atom_site_fract_x
_atom_site_fract_y
_atom_site_fract_z
Bi1 0.0000 0.0000 0.1018
Au1 0.0000 0.5000 0.2500
S1 0.0000 0.0000 0.5000
```

***

Stability check: which of them is least stable? (1).

***

(1)
DFT (GGA-PBE) results for an optimized crystal structure of BiSb2Au2.

CIF file:
```
data_BiSb2Au2
_symmetry_space_group_name_H-M 'I 4/m m m'
_symmetry_Int_Tables_number 139
_symmetry_space_group_name_Hall '-I 4 2'
_cell_length_a 4.5201
_cell_length_b 4.5201
_cell_length_c 12.6227
_cell_angle_alpha 90.00
_cell_angle_beta 90.00
_cell_angle_gamma 90.00
loop_
_atom_site_label
_atom_site_fract_x
_atom_site_fract_y
_atom_site_fract_z
Bi1 0.0000 0.0000 0.0000
Sb1 0.0000 0.5000 0.2500
Au1 0.0000 0.0000 0.3942
```

***

(2)
DFT (GGA-PBE) results for an optimized crystal structure of BiSb2Au2.

CIF file:
```
data_BiSb2Au2
_symmetry_space_group_name_H-M 'R -3 m'
_symmetry_Int_Tables_number 166
_symmetry_space_group_name_Hall '-R 3 2"'
_cell_length_a 4.5197
_cell_length_b 4.5197
_cell_length_c 24.0528
_cell_angle_alpha 90.00
_cell_angle_beta 90.00
_cell_angle_gamma 120.00
loop_
_atom_site_label
_atom_site_fract_x
_atom_site_fract_y
_atom_site_fract_z
Bi1 0.0000 0.0000 0.0000
Sb1 0.0000 0.0000 0.4388
Au1 0.0000 0.0000 0.2617
```

***

Stability check: which of them is least stable? (1).

***

(1)
DFT (GGA-PBE) results for an optimized crystal structure of Bi2SbAu2.

CIF file:
```
data_Bi2SbAu2
_symmetry_space_group_name_H-M 'C 1 2/c 1'
_symmetry_Int_Tables_number 15
_symmetry_space_group_name_Hall '-C 2yc'
_cell_length_a 10.1768
_cell_length_b 6.2461
_cell_length_c 8.5555
_cell_angle_alpha 90.00
_cell_angle_beta 103.55
_cell_angle_gamma 90.00
loop_
_atom_site_label
_atom_site_fract_x
_atom_site_fract_y
_atom_site_fract_z
Bi1 0.1515 0.1628 0.1969
Sb1 0.0000 0.3243 0.7500
Au1 0.1576 0.4313 0.4982
```

***

(2)
DFT (GGA-PBE) results for an optimized crystal structure of Bi2SbAu2.

CIF file:
```
data_Bi2SbAu2
_symmetry_space_group_name_H-M 'C 1 2/m 1'
_symmetry_Int_Tables_number 12
_symmetry_space_group_name_Hall '-C 2y'
_cell_length_a 7.2098
_cell_length_b 4.1933
_cell_length_c 9.1728
_cell_angle_alpha 90.00
_cell_angle_beta 104.99
_cell_angle_gamma 90.00
loop_
_atom_site_label
_atom_site_fract_x
_atom_site_fract_y
_atom_site_fract_z
Bi1 0.2104 0.0000 0.1335
Sb1 0.0000 0.0000 0.5000
Au1 0.1071 0.5000 0.3217
```

***

Stability check: which of them is least stable? (1).

***

(1)
DFT (GGA-PBE) results for an optimized crystal structure of Bi2SbAu2.

CIF file:
```
data_Bi2SbAu2
_symmetry_space_group_name_H-M 'I 4/m m m'
_symmetry_Int_Tables_number 139
_symmetry_space_group_name_Hall '-I 4 2'
_cell_length_a 4.6177
_cell_length_b 4.6177
_cell_length_c 12.8426
_cell_angle_alpha 90.00
_cell_angle_beta 90.00
_cell_angle_gamma 90.00
loop_
_atom_site_label
_atom_site_fract_x
_atom_site_fract_y
_atom_site_fract_z
Bi1 0.0000 0.5000 0.2500
Sb1 0.0000 0.0000 0.0000
Au1 0.0000 0.0000 0.3972
```

***

(2)
DFT (GGA-PBE) results for an optimized crystal structure of Bi2SbAu2.

CIF file:
```
data_Bi2SbAu2
_symmetry_space_group_name_H-M 'P 4/m b m'
_symmetry_Int_Tables_number 127
_symmetry_space_group_name_Hall '-P 4 2ab'
_cell_length_a 8.8622
_cell_length_b 8.8622
_cell_length_c 3.3689
_cell_angle_alpha 90.00
_cell_angle_beta 90.00
_cell_angle_gamma 90.00
loop_
_atom_site_label
_atom_site_fract_x
_atom_site_fract_y
_atom_site_fract_z
Bi1 0.1937 0.3063 0.0000
Sb1 0.0000 0.0000 0.0000
Au1 0.1106 0.6106 0.5000
```

***

Stability check: which of them is least stable? (1).